No. 1
Below is Tb2OsW after structural relaxation, with properties calculated at the PBE level.

Its energy relative to the elements is 341 kJ/mol of formula units. As for the crystal system: trigonal.

The space group is R-3m (No. 166, hexagonal axes) and the conventional cell measures 3.1163, 3.1163 and 30.6077 Å, with angles of 90.00, 90.00 and 120.00 degrees. The asymmetric unit holds Tb at (0.0000, 0.0000, 0.0949), Os at (0.0000, 0.0000, 0.5000) and W at (0.0000, 0.0000, 0.0000).


No. 2
Below is InFeAs2 after structural relaxation, with properties calculated at the PBE level.

Its energy relative to the elements is 35 kJ/mol of formula units. As for the crystal system: monoclinic.

The space group is P2/m (No. 10) and the conventional cell measures 4.8658, 3.8306 and 4.9772 Å, with angles of 90.00, 117.84 and 90.00 degrees. The asymmetric unit holds In at (0.0000, 0.0000, 0.0000), Fe at (0.5000, 0.0000, 0.5000) and As at (0.3126, 0.5000, 0.6362).


No. 3
Below is Cd3AgAs after structural relaxation, with properties calculated at the PBE level.

The energy relative to the lowest polymorph listed for this composition comes out at 0.110 eV/atom. Its energy relative to the elements is 253 kJ/mol of formula units. As for the crystal system: cubic.

The space group is Pm-3m (No. 221) and the conventional cell measures 5.1905, 5.1905 and 5.1905 Å, with angles of 90.00, 90.00 and 90.00 degrees. The asymmetric unit holds Cd at (0.0000, 0.0000, 0.5000), Ag at (0.0000, 0.0000, 0.0000) and As at (0.5000, 0.5000, 0.5000).


No. 4
Below is AcGd2In after structural relaxation, with properties calculated at the PBE level.

The energy relative to the lowest polymorph listed for this composition comes out at 0.139 eV/atom. Its energy relative to the elements is -36 kJ/mol of formula units. As for the crystal system: cubic.

The space group is Fm-3m (No. 225) and the conventional cell measures 7.9787, 7.9787 and 7.9787 Å, with angles of 90.00, 90.00 and 90.00 degrees. The asymmetric unit holds Ac at (0.0000, 0.0000, 0.0000), Gd at (0.2500, 0.2500, 0.2500) and In at (0.0000, 0.0000, 0.5000).


No. 5
Below is MnTcPPdCl after structural relaxation, with properties calculated at the PBE level.

The energy relative to the lowest polymorph listed for this composition comes out at 0.065 eV/atom. As for the crystal system: triclinic. The value obtained for the uncorrected formation energy is -0.156 eV/atom.

The space group is P1 (No. 1) and the conventional cell measures 3.7724, 3.7759 and 7.4966 Å, with angles of 85.86, 88.75 and 60.05 degrees. The asymmetric unit holds Mn at (0.0000, 0.0000, 0.0000), Tc at (0.6627, 0.6850, 0.8878), P at (0.3368, 0.3183, 0.0897), Pd at (0.6793, 0.6164, 0.2576) and Cl at (0.6404, 0.7821, 0.5812).


No. 6
Below is MgBeCr after structural relaxation, with properties calculated at the PBE level.

The energy relative to the lowest polymorph listed for this composition comes out at 0.315 eV/atom. Its energy relative to the elements is 122 kJ/mol of formula units. As for the crystal system: orthorhombic.

The space group is Fmm2 (No. 42) and the conventional cell measures 3.2742, 3.9268 and 12.0643 Å, with angles of 90.00, 90.00 and 90.00 degrees. The asymmetric unit holds Mg at (0.0000, 0.0000, 0.0000), Be at (0.0000, 0.0000, 0.6764) and Cr at (0.0000, 0.0000, 0.3146).


No. 7
Below is LiCaPrHo after structural relaxation, with properties calculated at the PBE level.

Its energy relative to the elements is 79 kJ/mol of formula units. As for the crystal system: cubic.

The space group is F-43m (No. 216) and the conventional cell measures 8.0346, 8.0346 and 8.0346 Å, with angles of 90.00, 90.00 and 90.00 degrees. The asymmetric unit holds Li at (0.0000, 0.0000, 0.0000), Ca at (0.2500, 0.2500, 0.7500), Pr at (0.2500, 0.2500, 0.2500) and Ho at (0.0000, 0.0000, 0.5000).


No. 8
Below is Tm3Cd after structural relaxation, with properties calculated at the PBE level.

The energy relative to the lowest polymorph listed for this composition comes out at 0.082 eV/atom. Its energy relative to the elements is -22 kJ/mol of formula units. As for the crystal system: tetragonal.

The space group is I4/mmm (No. 139) and the conventional cell measures 4.7606, 4.7606 and 9.6366 Å, with angles of 90.00, 90.00 and 90.00 degrees. The asymmetric unit holds Tm at (0.0000, 0.0000, 0.0000), Tm at (0.0000, 0.5000, 0.2500) and Cd at (0.0000, 0.0000, 0.5000).


No. 9
Below is YCoBi3 after structural relaxation, with properties calculated at the PBE level.

The energy relative to the lowest polymorph listed for this composition comes out at 0.000 eV/atom. Its energy relative to the elements is 63 kJ/mol of formula units. As for the crystal system: cubic.

The space group is Pm-3m (No. 221) and the conventional cell measures 5.1946, 5.1946 and 5.1946 Å, with angles of 90.00, 90.00 and 90.00 degrees. The asymmetric unit holds Y at (0.0000, 0.0000, 0.0000), Co at (0.5000, 0.5000, 0.5000) and Bi at (0.0000, 0.5000, 0.5000).


No. 10
Below is BaZn2Cd after structural relaxation, with properties calculated at the PBE level.

Its energy relative to the elements is -17 kJ/mol of formula units. As for the crystal system: monoclinic.

The space group is P2/m (No. 10) and the conventional cell measures 3.9020, 4.4182 and 6.7933 Å, with angles of 90.00, 105.06 and 90.00 degrees. The asymmetric unit holds Ba at (0.0000, 0.0000, 0.0000), Zn at (0.2857, 0.5000, 0.6722) and Cd at (0.5000, 0.0000, 0.5000).


No. 11
Below is CaErTe after structural relaxation, with properties calculated at the PBE level.

As for the crystal system: tetragonal. The value obtained for the uncorrected formation energy is -0.862 eV/atom.

The space group is P4/nmm (No. 129, origin choice 2) and the conventional cell measures 4.5693, 4.5693 and 8.5713 Å, with angles of 90.00, 90.00 and 90.00 degrees. The asymmetric unit holds Ca at (0.2500, 0.2500, 0.1561), Er at (0.2500, 0.7500, 0.5000) and Te at (0.2500, 0.2500, 0.7823).


No. 12
Below is K2Ru after structural relaxation, with properties calculated at the PBE level.

The energy relative to the lowest polymorph listed for this composition comes out at 0.722 eV/atom. Its energy relative to the elements is 386 kJ/mol of formula units. As for the crystal system: orthorhombic.

The space group is Pnma (No. 62) and the conventional cell measures 7.4599, 5.5595 and 10.6749 Å, with angles of 90.00, 90.00 and 90.00 degrees. The asymmetric unit holds K at (0.0386, 0.2500, 0.2034), K at (0.1849, 0.2500, 0.5649) and Ru at (0.2001, 0.2500, 0.8912).


No. 13
Below is Sc2GeS2 after structural relaxation, with properties calculated at the PBE level.

As for the crystal system: tetragonal. The value obtained for the uncorrected formation energy is -1.039 eV/atom.

The space group is P4/mbm (No. 127) and the conventional cell measures 7.4474, 7.4474 and 3.2438 Å, with angles of 90.00, 90.00 and 90.00 degrees. The asymmetric unit holds Sc at (0.1576, 0.3424, 0.0000), Ge at (0.0000, 0.0000, 0.5000) and S at (0.1389, 0.6389, 0.5000).


No. 14
Below is YRuS2N after structural relaxation, with properties calculated at the PBE level.

The energy relative to the lowest polymorph listed for this composition comes out at 0.000 eV/atom. As for the crystal system: tetragonal. The value obtained for the uncorrected formation energy is -0.575 eV/atom.

The space group is P4/mmm (No. 123) and the conventional cell measures 4.8436, 4.8436 and 3.7019 Å, with angles of 90.00, 90.00 and 90.00 degrees. The asymmetric unit holds Y at (0.0000, 0.0000, 0.0000), Ru at (0.5000, 0.5000, 0.5000), S at (0.0000, 0.5000, 0.5000) and N at (0.5000, 0.5000, 0.0000).


No. 15
Below is AlRhSCl2 after structural relaxation, with properties calculated at the PBE level.

The energy relative to the lowest polymorph listed for this composition comes out at 0.000 eV/atom. As for the crystal system: tetragonal. The value obtained for the uncorrected formation energy is -0.063 eV/atom.

The space group is P4/mmm (No. 123) and the conventional cell measures 5.0279, 5.0279 and 4.4670 Å, with angles of 90.00, 90.00 and 90.00 degrees. The asymmetric unit holds Al at (0.0000, 0.0000, 0.0000), Rh at (0.5000, 0.5000, 0.5000), S at (0.5000, 0.5000, 0.0000) and Cl at (0.0000, 0.5000, 0.5000).


No. 16
Below is LuTaNb2 after structural relaxation, with properties calculated at the PBE level.

The energy relative to the lowest polymorph listed for this composition comes out at 0.000 eV/atom. Its energy relative to the elements is 57 kJ/mol of formula units. As for the crystal system: tetragonal.

The space group is P4/mmm (No. 123) and the conventional cell measures 3.3967, 3.3967 and 7.1453 Å, with angles of 90.00, 90.00 and 90.00 degrees. The asymmetric unit holds Lu at (0.0000, 0.0000, 0.0000), Ta at (0.0000, 0.0000, 0.5000) and Nb at (0.5000, 0.5000, 0.2912).


No. 17
Below is ZnFeW after structural relaxation, with properties calculated at the PBE level.

The energy relative to the lowest polymorph listed for this composition comes out at 0.834 eV/atom. Its energy relative to the elements is 283 kJ/mol of formula units. As for the crystal system: cubic.

The space group is F-43m (No. 216) and the conventional cell measures 5.8445, 5.8445 and 5.8445 Å, with angles of 90.00, 90.00 and 90.00 degrees. The asymmetric unit holds Zn at (0.0000, 0.0000, 0.0000), Fe at (0.0000, 0.0000, 0.5000) and W at (0.2500, 0.2500, 0.2500).


No. 18
Below is Gd2CoRu after structural relaxation, with properties calculated at the PBE level.

Its energy relative to the elements is 55 kJ/mol of formula units. As for the crystal system: trigonal.

The space group is R-3m (No. 166, hexagonal axes) and the conventional cell measures 3.5028, 3.5028 and 23.6453 Å, with angles of 90.00, 90.00 and 120.00 degrees. The asymmetric unit holds Gd at (0.0000, 0.0000, 0.2478), Co at (0.0000, 0.0000, 0.5000) and Ru at (0.0000, 0.0000, 0.0000).